Entry from the Alexandria database: Li4Cd3Hg8 after structural relaxation (PBE).

Unit cell a=8.211 b=8.211 c=6.215 alpha=112.13 beta=112.13 gamma=90.19
Element x y z (fractional)
Li (0.000, 0.000, 0.000)
Li (0.000, 0.500, 0.000)
Li (0.500, 0.000, 0.000)
Li (0.500, 0.500, 0.500)
Cd (0.000, 0.000, 0.500)
Cd (0.000, 0.500, 0.500)
Cd (0.500, 0.000, 0.500)
Hg (0.247, 0.247, 0.453)
Hg (0.254, 0.746, 0.500)
Hg (0.276, 0.276, 0.988)
Hg (0.336, 0.664, 0.000)
Hg (0.664, 0.336, 0.000)
Hg (0.724, 0.724, 0.012)
Hg (0.746, 0.254, 0.500)
Hg (0.753, 0.753, 0.547)

Calculated values
The value obtained for the formation enthalpy at 0 K is -0.12 eV per atom. The symmetry is C2/m (12).